The following is a DFT calculation (PBE) of a relaxed HCl2F2 crystal.

Symmetry: P2_1
Uncorrected energy (eV/atom): -2.867
Total magnetic moment (Bohr magnetons per cell): 0.75
Volume (Å³/cell): 191.7

a = 3.0355 Å, b = 12.1969 Å, c = 5.3638 Å
α = 90.00°, β = 105.11°, γ = 90.00°
Last column: nearest neighbours and their distance in Å.
Sites, in units of the cell vectors:
H 0.2444 0.0000 0.0342  1 F 0.98
H 0.7556 0.5000 0.9658  1 F 0.98
Cl 0.1394 0.3109 0.4205  1 Cl 2.05
Cl 0.2865 0.2086 0.7349  1 F 1.93, 1 Cl 2.05
Cl 0.7135 0.7086 0.2651  1 F 1.93, 1 Cl 2.05
Cl 0.8606 0.8109 0.5795  1 Cl 2.05
F 0.1118 0.9270 0.0343  1 H 0.98
F 0.4321 0.1148 0.0360  1 H 1.51
F 0.5679 0.6148 0.9640  1 H 1.51
F 0.8882 0.4270 0.9657  1 H 0.98